A plane-wave DFT calculation with PBE-GGA was carried out for an optimized crystal structure of NdSm4Te5.

Results
The total energy is -5.33 eV per atom. The volume comes out at 625.2 Å³ per cell. The uncorrected formation energy is -1.3923 eV per atom.

Lattice parameters (Å, degrees): 14.7784 4.4535 10.9246 90.00 119.60 90.00
Last column: nearest neighbours and their distance in Å.
Space group C2/m (No. 12)
Symmetry-distinct sites (fractional):
1 Nd 0.0000 0.0000 0.0000 x2  6 Te 3.17-3.18
2 Sm 0.0991 0.5000 0.3981 x4  6 Te 3.13-3.15
3 Sm 0.2015 0.0000 0.7995 x4  6 Te 3.14-3.15
4 Te 0.0000 0.0000 0.5000 x2  6 Sm 3.15
5 Te 0.1020 0.5000 0.8987 x4  4 Sm 3.13-3.14, 2 Nd 3.18
6 Te 0.2012 0.0000 0.3030 x4  5 Sm 3.14, 1 Nd 3.17